Record 1
A relaxed Pu2MnSn crystal. Source: Alexandria, functional PBE-GGA.

Summary:
- Distance to the lowest polymorph of the same formula: 465 meV/atom
- ΔH_f (0 K): 0.302 eV/atom

Lattice parameters (Å, degrees): 10.7994 10.7994 10.7994 17.26 17.26 17.26
Sites, in units of the cell vectors:
Pu  0.1012  0.1012  0.1012
Pu  0.8988  0.8988  0.8988
Mn  0.5000  0.5000  0.5000
Sn  0.0000  0.0000  0.0000



Record 2
A relaxed ScTePbO6 crystal. Source: Alexandria, functional PBE-GGA.

Summary:
- Formation energy without anion corrections: -1.678 eV/atom

Lattice parameters (Å, degrees): 5.4460 5.4460 9.8303 90.00 90.00 120.00
Sites, in units of the cell vectors:
Sc  0.3333  0.6667  0.2500
Sc  0.6667  0.3333  0.7500
Te  0.3333  0.6667  0.7500
Te  0.6667  0.3333  0.2500
Pb  0.0000  0.0000  0.0000
Pb  0.0000  0.0000  0.5000
O  0.0223  0.3787  0.6406
O  0.0223  0.6435  0.8594
O  0.3565  0.3787  0.8594
O  0.3565  0.9777  0.6406
O  0.3787  0.0223  0.1406
O  0.3787  0.3565  0.3594
O  0.6213  0.6435  0.6406
O  0.6213  0.9777  0.8594
O  0.6435  0.0223  0.3594
O  0.6435  0.6213  0.1406
O  0.9777  0.3565  0.1406
O  0.9777  0.6213  0.3594



Record 3
A relaxed Mg2TcCl2 crystal. Source: Alexandria, functional PBE-GGA.

Summary:
- Distance to the lowest polymorph of the same formula: 0 meV/atom
- Formation energy without anion corrections: 0.047 eV/atom

Lattice parameters (Å, degrees): 6.6849 6.6849 6.6849 142.70 142.70 53.78
Sites, in units of the cell vectors:
Mg  0.1201  0.1201  0.0000
Mg  0.8799  0.8799  0.0000
Tc  0.5000  0.5000  0.0000
Cl  0.2500  0.7500  0.5000
Cl  0.7500  0.2500  0.5000



Table of calculated volume (A^3/atom), in record order: 24.2, 14.0, 21.8
Table of uncorrected energy (eV/cell), in record order: -40.627, -116.067, -17.013